{"formula": "Cs3Li2SmBr8", "functional": "PBE", "state": "relaxed", "lattice_angstrom": [[7.945, 0.000, 0.000], [-3.972, 6.880, 0.000], [0.000, 0.000, 10.257]], "species": ["Cs", "Cs", "Cs", "Li", "Li", "Sm", "Br", "Br", "Br", "Br", "Br", "Br", "Br", "Br"], "fractional_positions": [[0.000, 0.000, 0.000], [0.333, 0.667, 0.647], [0.667, 0.333, 0.353], [0.333, 0.667, 0.210], [0.667, 0.333, 0.790], [0.000, 0.000, 0.500], [0.167, 0.333, 0.334], [0.167, 0.833, 0.334], [0.333, 0.167, 0.666], [0.333, 0.667, 0.979], [0.667, 0.333, 0.021], [0.667, 0.833, 0.334], [0.833, 0.167, 0.666], [0.833, 0.667, 0.666]], "e_form_raw_kj_per_mol_atoms": -167, "space_group": "No. 164", "total_energy_ev_per_cell": -48.700, "magmom_total_mub_per_fu": 0.00, "mass_density_g_cm3": 3.560}



{"formula": "Sc3CdC", "functional": "PBE", "state": "relaxed", "lattice_angstrom": [[5.592, 0.000, 0.000], [1.032, 6.303, 0.000], [1.007, 2.994, 5.564]], "species": ["Sc", "Sc", "Sc", "Sc", "Sc", "Sc", "Cd", "Cd", "C", "C"], "fractional_positions": [[0.000, 0.000, 0.000], [0.000, 0.497, 0.504], [0.122, 0.489, 0.994], [0.489, 0.791, 0.293], [0.640, 0.764, 0.806], [0.642, 0.304, 0.266], [0.095, 0.000, 0.506], [0.511, 0.270, 0.770], [0.815, 0.655, 0.158], [0.826, 0.386, 0.889]], "ef_mev_per_atom": -296, "space_group": "No. 1", "total_energy_ev_per_cell": -61.227, "relative_energy_ev_per_atom": 0.1679, "magmom_total_mub_per_fu": 0.00, "mass_density_g_cm3": 4.390}



{"formula": "Pm6Rh2Au", "functional": "PBE", "state": "relaxed", "lattice_angstrom": [[-4.715, 4.954, 5.248], [4.715, -4.954, 5.248], [4.715, 4.954, -5.248]], "species": ["Pm", "Pm", "Pm", "Pm", "Pm", "Pm", "Pm", "Pm", "Pm", "Pm", "Pm", "Pm", "Rh", "Rh", "Rh", "Rh", "Au", "Au"], "fractional_positions": [[0.037, 0.232, 0.805], [0.177, 0.287, 0.464], [0.177, 0.713, 0.890], [0.332, 0.028, 0.697], [0.332, 0.635, 0.303], [0.428, 0.232, 0.195], [0.572, 0.768, 0.805], [0.668, 0.365, 0.697], [0.668, 0.972, 0.303], [0.823, 0.287, 0.110], [0.823, 0.713, 0.536], [0.963, 0.768, 0.195], [0.133, 0.633, 0.500], [0.339, 0.000, 0.339], [0.661, 0.000, 0.661], [0.867, 0.367, 0.500], [0.000, 0.000, 0.000], [0.500, 0.500, 0.000]], "ef_mev_per_atom": -539, "space_group": "No. 71", "total_energy_ev_per_cell": -102.662, "magmom_total_mub_per_fu": 0.00, "mass_density_g_cm3": 8.620}